4
Lattice="0.0000 3.3477 3.3477 3.3477 0.0000 3.3477 3.3477 3.3477 0.0000" Properties=species:S:1:pos:R:3 comment="V2InBi (GGA-PBE, relaxed)" polymorph_energy_mev_per_atom=0 sg=Fm-3m formation_energy_mev_per_atom=567 pbc="T T T"
In 0.0000 0.0000 0.0000
Bi 3.3477 3.3477 3.3477
V 1.6738 1.6738 1.6738
V 5.0215 5.0215 5.0215

***

6
Lattice="3.3706 0.0000 -1.0203 -0.6194 4.5201 -2.0463 -0.0197 -0.0464 6.0126" Properties=species:S:1:pos:R:3 comment="TmU2C3 (GGA-PBE, relaxed)" polymorph_energy_mev_per_atom=0 sg=Immm formation_energy_mev_per_atom=-235 pbc="T T T"
Tm 1.3657 2.2368 1.4730
U 2.2948 3.7678 -1.5355
U 0.4367 0.7059 4.4816
C 2.5596 1.4345 -0.6607
C 0.1719 3.0392 3.6068
C 1.6754 -0.0232 2.4962

***

3
Lattice="-3.3252 1.7587 3.6084 -1.7075 -2.3855 4.3086 4.0253 1.6044 -2.8971" Properties=species:S:1:pos:R:3 comment="CdCoIr (GGA-PBE, relaxed)" polymorph_energy_mev_per_atom=66 sg=Imm2 formation_energy_mev_per_atom=234 pbc="T T T"
Cd -5.0194 -0.6251 7.8962
Co -1.5655 -0.1950 2.4627
Ir -3.4804 -0.4335 5.4752

***

11
Lattice="-1.4847 -2.8379 -1.4837 -2.9797 -2.4855 7.7359 -9.2743 6.1413 -2.4662" Properties=species:S:1:pos:R:3 comment="Nd4Tm5Tl2 (GGA-PBE, relaxed)" sg=P2/m formation_energy_mev_per_atom=6 pbc="T T T"
Nd -7.9416 0.1957 3.3739
Nd -9.4211 3.6793 -1.8088
Nd -5.7971 0.6222 0.4121
Nd -4.3176 -2.8614 5.5948
Tm -4.4174 0.3622 3.7276
Tm -2.2038 0.5444 1.1640
Tm -1.4899 -1.2428 3.8679
Tm -10.0502 3.1114 4.1057
Tm -7.8366 3.2936 1.5420
Tl -6.0606 3.7680 -1.1425
Tl -6.1934 -0.1122 6.4121

***

4
Lattice="-3.5109 1.0629 0.5837 -0.9613 -4.5365 2.4790 3.7798 4.1160 3.4211" Properties=species:S:1:pos:R:3 comment="Y3Ga (GGA-PBE, relaxed)" sg=Immm formation_energy_mev_per_atom=-309 pbc="T T T"
Y 0.4929 -0.5121 3.8975
Y -2.1561 -1.3595 1.3252
Y -1.0245 1.9137 2.1714
Ga -0.8817 -4.1609 2.2737

***

5
Lattice="-1.8902 2.6603 -3.5604 3.3801 -1.6518 -3.0287 -2.9644 -3.7772 -1.2484" Properties=species:S:1:pos:R:3 comment="NbWSCl2 (GGA-PBE, relaxed)" raw_formation_energy_mev_per_atom=741 polymorph_energy_mev_per_atom=13 sg=P4/mmm pbc="T T T"
Nb 0.0000 0.0000 0.0000
S -1.4822 -1.8886 -0.6242
W -0.7373 -1.3843 -3.9187
Cl 1.6900 -0.8259 -1.5143
Cl -0.9451 1.3301 -1.7802